The following is a PBE-GGA calculation of a geometry-optimized KCe2PrTe4 structure, from the Alexandria database.

Cell: 4.5416 8.0115 7.9928 Å, 71.24 90.00 90.00°
With the nearest neighbours (Å) after each atom.
Positions (direct):
K  0.5000  0.5000  0.0000  6 Te 3.31-3.34
Ce  0.0000  0.0000  0.0000  6 Te 3.25
Ce  0.5000  0.0000  0.5000  6 Te 3.17-3.19
Pr  0.0000  0.5000  0.5000  6 Te 3.26
Te  0.0000  0.7627  0.7377  3 Ce 3.17-3.25, 1 Pr 3.26, 2 K 3.34
Te  0.0000  0.2373  0.2623  3 Ce 3.17-3.25, 1 Pr 3.26, 2 K 3.34
Te  0.5000  0.7556  0.2534  3 Ce 3.19-3.25, 2 Pr 3.26, 1 K 3.31
Te  0.5000  0.2444  0.7466  3 Ce 3.19-3.25, 2 Pr 3.26, 1 K 3.31

Calculated values
- DFT total energy (eV per atom) = -5.135

***

The following is a PBE-GGA calculation of a geometry-optimized Ho4CoS3 structure, from the Alexandria database.

Cell: 3.8150 6.8401 6.8401 Å, 108.34 90.00 90.00°
With the nearest neighbours (Å) after each atom.
Positions (direct):
S  0.0000  0.0000  0.5000  6 Ho 2.77-2.78
S  0.5000  0.5000  0.5000  6 Ho 2.86-2.88
S  0.0000  0.5000  0.0000  6 Ho 2.77-2.78
Co  0.5000  0.0000  0.0000  6 Ho 2.67-2.68
Ho  0.0000  0.2344  0.2344  2 Co 2.68, 4 S 2.78-2.86
Ho  0.5000  0.7596  0.2404  1 Co 2.67, 5 S 2.77-2.88
Ho  0.0000  0.7656  0.7656  2 Co 2.68, 4 S 2.78-2.86
Ho  0.5000  0.2404  0.7596  1 Co 2.67, 5 S 2.77-2.88

Calculated values
- DFT total energy (eV per atom) = -6.204

***

The following is a PBE-GGA calculation of a geometry-optimized Y2HoRu structure, from the Alexandria database.

Cell: 3.4429 3.4429 8.8839 Å, 90.00 90.00 90.00°
With the nearest neighbours (Å) after each atom.
Positions (direct):
Y  0.0000  0.0000  0.8138  4 Ru 2.94
Y  0.0000  0.0000  0.1862  4 Ru 2.94
Ru  0.5000  0.5000  0.0000  8 Y 2.94
Ho  0.5000  0.5000  0.5000  4 Ho 3.44, 8 Y 3.70

Calculated values
- relative energy among the computed polymorphs (meV per atom) = 144

***

The following is a PBE-GGA calculation of a geometry-optimized Nd6Ge2I3N structure, from the Alexandria database.

Cell: 7.2088 7.2088 8.1475 Å, 98.47 98.47 119.91°
With the nearest neighbours (Å) after each atom.
Positions (direct):
Nd  0.9388  0.6368  0.8154  1 N 2.61, 2 Ge 2.91
Nd  0.7606  0.7606  0.1872  1 N 2.62, 2 Ge 2.91
Nd  0.0612  0.3632  0.1846  1 N 2.61, 2 Ge 2.91
Nd  0.6368  0.9388  0.8154  1 N 2.61, 2 Ge 2.91
Nd  0.2394  0.2394  0.8128  1 N 2.62, 2 Ge 2.91
Nd  0.3632  0.0612  0.1846  1 N 2.61, 2 Ge 2.91
Ge  0.3340  0.6660  0.0000  6 Nd 2.91
Ge  0.6660  0.3340  0.0000  6 Nd 2.91
I  0.1732  0.8268  0.5000  6 Nd 3.37-3.55
I  0.8268  0.1732  0.5000  6 Nd 3.37-3.55
I  0.5000  0.5000  0.5000  6 Nd 3.37-3.59
N  0.0000  0.0000  0.0000  6 Nd 2.61-2.62

Calculated values
- DFT total energy (eV per atom) = -5.288

***

The following is a PBE-GGA calculation of a geometry-optimized CaScTi2B structure, from the Alexandria database.

Cell: 4.6063 5.5929 4.6063 Å, 90.00 90.00 90.00°
With the nearest neighbours (Å) after each atom.
Positions (direct):
Sc  0.0000  0.0000  0.0000  4 Ti 2.30
Ca  0.0000  0.5000  0.0000  2 Sc 2.80
B  0.5000  0.5000  0.5000  4 Ca 3.26, 8 Ti 3.62
Ti  0.0000  0.0000  0.5000  2 Sc 2.30
Ti  0.5000  0.0000  0.0000  2 Sc 2.30

Calculated values
- DFT total energy (eV per atom) = -4.269

***

The following is a PBE-GGA calculation of a geometry-optimized Zn7GaPt4 structure, from the Alexandria database.

Cell: 5.0089 7.1478 7.0829 Å, 76.00 89.61 49.90°
With the nearest neighbours (Å) after each atom.
Positions (direct):
Zn  0.7726  0.4880  0.9385  4 Zn 2.57-2.87, 4 Pt 2.68-2.73, 1 Ga 2.79
Zn  0.2274  0.5120  0.0615  4 Zn 2.57-2.87, 4 Pt 2.68-2.73, 1 Ga 2.79
Zn  0.0491  0.2843  0.6159  5 Pt 2.64-2.83, 6 Zn 2.81-2.95
Zn  0.9509  0.7157  0.3841  5 Pt 2.64-2.83, 6 Zn 2.81-2.95
Zn  0.3446  0.7866  0.5864  5 Pt 2.58-2.77, 3 Zn 2.64-2.81
Zn  0.5000  0.0000  0.0000  2 Ga 2.50, 4 Pt 2.52-2.71
Zn  0.6554  0.2134  0.4136  5 Pt 2.58-2.77, 3 Zn 2.64-2.81
Ga  0.0000  0.0000  0.0000  2 Pt 2.47, 2 Zn 2.50
Pt  0.5342  0.6339  0.2594  1 Ga 2.47, 6 Zn 2.58-2.73
Pt  0.4658  0.3661  0.7406  1 Ga 2.47, 6 Zn 2.58-2.73
Pt  0.7702  0.8532  0.7085  8 Zn 2.52-2.77
Pt  0.2298  0.1468  0.2915  8 Zn 2.52-2.77

Calculated values
- DFT total energy (eV per atom) = -3.407

***

The following is a PBE-GGA calculation of a geometry-optimized La3TbCe2Sb6 structure, from the Alexandria database.

Cell: 7.8729 7.8729 7.8857 Å, 99.58 99.58 119.99°
With the nearest neighbours (Å) after each atom.
Positions (direct):
La  0.1674  0.8326  0.5000  6 Sb 3.25-3.26
La  0.8326  0.1674  0.5000  6 Sb 3.25-3.26
La  0.5000  0.5000  0.5000  6 Sb 3.25-3.27
Tb  0.0000  0.0000  0.0000  6 Sb 3.16-3.17
Ce  0.3335  0.6665  0.0000  6 Sb 3.18
Ce  0.6665  0.3335  0.0000  6 Sb 3.18
Sb  0.9201  0.5887  0.7600  1 Tb 3.16, 2 Ce 3.18, 3 La 3.25-3.26
Sb  0.7493  0.7493  0.2413  1 Tb 3.17, 2 Ce 3.18, 3 La 3.25-3.27
Sb  0.0799  0.4113  0.2400  1 Tb 3.16, 2 Ce 3.18, 3 La 3.25-3.26
Sb  0.5887  0.9201  0.7600  1 Tb 3.16, 2 Ce 3.18, 3 La 3.25-3.26
Sb  0.2507  0.2507  0.7587  1 Tb 3.17, 2 Ce 3.18, 3 La 3.25-3.27
Sb  0.4113  0.0799  0.2400  1 Tb 3.16, 2 Ce 3.18, 3 La 3.25-3.26

Calculated values
- DFT total energy (eV per atom) = -5.845

***

The following is a PBE-GGA calculation of a geometry-optimized LiTlInBr3 structure, from the Alexandria database.

Cell: 4.4278 9.9136 9.9021 Å, 94.63 90.00 90.00°
With the nearest neighbours (Å) after each atom.
Positions (direct):
Li  0.2500  0.0887  0.5917  4 Br 2.52-2.58
Li  0.7500  0.9113  0.4083  4 Br 2.52-2.58
Tl  0.2500  0.1517  0.1872  5 Br 3.28-3.46
Tl  0.7500  0.8483  0.8128  5 Br 3.28-3.46
In  0.2500  0.6316  0.1782  5 Br 3.08-3.36
In  0.7500  0.3684  0.8218  5 Br 3.08-3.36
Br  0.7500  0.8835  0.1527  1 Li 2.52
Br  0.2500  0.1165  0.8473  1 Li 2.52
Br  0.2500  0.8361  0.5127  3 Li 2.56-2.58
Br  0.7500  0.1639  0.4873  3 Li 2.56-2.58
Br  0.7500  0.3862  0.1337  3 In 3.08-3.29, 2 Tl 3.28
Br  0.2500  0.6138  0.8663  3 In 3.08-3.29, 2 Tl 3.28

Calculated values
- DFT total energy (eV per atom) = -3.009

***

The following is a PBE-GGA calculation of a geometry-optimized ZrGaSbCl2 structure, from the Alexandria database.

Cell: 4.8778 5.9215 4.8778 Å, 90.00 90.00 90.00°
With the nearest neighbours (Å) after each atom.
Positions (direct):
Sb  0.5000  0.5000  0.5000  4 Ga 3.45, 8 Cl 3.84
Ga  0.0000  0.5000  0.0000  2 Zr 2.96
Zr  0.0000  0.0000  0.0000  4 Cl 2.44
Cl  0.0000  0.0000  0.5000  2 Zr 2.44
Cl  0.5000  0.0000  0.0000  2 Zr 2.44

Calculated values
- DFT total energy (eV per atom) = -4.209

***

The following is a PBE-GGA calculation of a geometry-optimized TaMnAu2 structure, from the Alexandria database.

Cell: 4.0838 4.0862 4.0315 Å, 90.00 90.00 90.00°
With the nearest neighbours (Å) after each atom.
Positions (direct):
Au  0.0000  0.0000  0.0000  4 Mn 2.87, 4 Ta 2.87, 4 Au 2.89
Au  0.5000  0.5000  0.0000  4 Ta 2.87, 4 Mn 2.87, 4 Au 2.89
Mn  0.5000  0.0000  0.5000  8 Au 2.87, 4 Ta 2.89
Ta  0.0000  0.5000  0.5000  8 Au 2.87, 4 Mn 2.89

Calculated values
- DFT total energy (eV per atom) = -6.755

***

Please write out number 6 again, unchanged.
The following is a PBE-GGA calculation of a geometry-optimized Zn7GaPt4 structure, from the Alexandria database.

Cell: 5.0089 7.1478 7.0829 Å, 76.00 89.61 49.90°
With the nearest neighbours (Å) after each atom.
Positions (direct):
Zn  0.7726  0.4880  0.9385  4 Zn 2.57-2.87, 4 Pt 2.68-2.73, 1 Ga 2.79
Zn  0.2274  0.5120  0.0615  4 Zn 2.57-2.87, 4 Pt 2.68-2.73, 1 Ga 2.79
Zn  0.0491  0.2843  0.6159  5 Pt 2.64-2.83, 6 Zn 2.81-2.95
Zn  0.9509  0.7157  0.3841  5 Pt 2.64-2.83, 6 Zn 2.81-2.95
Zn  0.3446  0.7866  0.5864  5 Pt 2.58-2.77, 3 Zn 2.64-2.81
Zn  0.5000  0.0000  0.0000  2 Ga 2.50, 4 Pt 2.52-2.71
Zn  0.6554  0.2134  0.4136  5 Pt 2.58-2.77, 3 Zn 2.64-2.81
Ga  0.0000  0.0000  0.0000  2 Pt 2.47, 2 Zn 2.50
Pt  0.5342  0.6339  0.2594  1 Ga 2.47, 6 Zn 2.58-2.73
Pt  0.4658  0.3661  0.7406  1 Ga 2.47, 6 Zn 2.58-2.73
Pt  0.7702  0.8532  0.7085  8 Zn 2.52-2.77
Pt  0.2298  0.1468  0.2915  8 Zn 2.52-2.77

Calculated values
- DFT total energy (eV per atom) = -3.407